! PBE with a Hubbard U Cs2YCr3F12, optimized geometry; values from VASP
&SYSTEM
  ibrav = 0, nat = 18, ntyp = 4
/
ATOMIC_SPECIES
F 19.00 F.upf
Y 88.91 Y.upf
Cr 52.00 Cr.upf
Cs 132.91 Cs.upf
CELL_PARAMETERS angstrom
7.7106 -0.0370 -0.0262
3.7757 6.7229 -0.0262
3.7757 2.1978 6.3536
ATOMIC_POSITIONS crystal
F 0.3374 0.9227 0.9227
F 0.0753 0.6897 0.6897
F 0.0773 0.6626 0.0773
F 0.6897 0.0753 0.6897
F 0.0773 0.0773 0.6626
F 0.9227 0.3374 0.9227
F 0.6897 0.6897 0.0753
F 0.9227 0.9227 0.3374
F 0.3103 0.9247 0.3103
F 0.9247 0.3103 0.3103
F 0.3103 0.3103 0.9247
F 0.6626 0.0773 0.0773
Y 0.0000 0.0000 0.0000
Cr 0.0000 0.0000 0.5000
Cr 0.5000 0.0000 0.0000
Cr 0.0000 0.5000 0.0000
Cs 0.3897 0.3897 0.3897
Cs 0.6103 0.6103 0.6103
! E_tot: -5.970 eV per atom